The following is a PBE calculation of crystalline CaInOsI2 at its relaxed geometry, from Alexandria via LeMat-Bulk.

**Calculated total energy**: -0.1167 Ha/atom
**Mass density**: 4.7 Mg/m³
**Energy relative to the elements, uncorrected**: 308 kJ/mol of formula units

Unit cell a=6.164 b=6.164 c=5.552 alpha=90.00 beta=90.00 gamma=90.00
Space group P4/mmm (No. 123)
Symmetry-distinct sites (fractional):
Ca (0.000, 0.000, 0.000) (multiplicity 1)
In (0.500, 0.500, 0.500) (multiplicity 1)
Os (0.000, 0.000, 0.500) (multiplicity 1)
I (0.000, 0.500, 0.000) (multiplicity 2)